# TiAlPd2 | Alexandria via LeMat-Bulk | PBE | relaxed
# Formation energy in meV per atom: -560
# Uncorrected energy in Ry/atom: -0.4458
# Spin magnetization in μB/f.u.: 0.000
data_TiAlPd2
_chemical_formula_sum 'Ti1 Al1 Pd2'
_symmetry_space_group_name_H-M 'P 1'
_symmetry_Int_Tables_number 1
_cell_length_a 8.488
_cell_length_b 8.488
_cell_length_c 8.488
_cell_angle_alpha 19.91
_cell_angle_beta 19.91
_cell_angle_gamma 19.91
loop_
_symmetry_equiv_pos_as_xyz
'x,y,z'
loop_
_atom_site_label
_atom_site_fract_x
_atom_site_fract_y
_atom_site_fract_z
_atom_site_occupancy
Ti1 0.000 0.000 0.000 1
Al1 0.166 0.166 0.166 1
Pd1 0.421 0.421 0.421 1
Pd2 0.579 0.579 0.579 1

# TiAlPd2 | Alexandria via LeMat-Bulk | PBE | relaxed
# Formation energy in meV per atom: -669
# Uncorrected energy in Ry/atom: -0.4539
# Spin magnetization in μB/f.u.: 0.001
data_TiAlPd2
_chemical_formula_sum 'Ti1 Al1 Pd2'
_symmetry_space_group_name_H-M 'P 1'
_symmetry_Int_Tables_number 1
_cell_length_a 4.600
_cell_length_b 4.600
_cell_length_c 2.883
_cell_angle_alpha 90.00
_cell_angle_beta 90.00
_cell_angle_gamma 90.00
loop_
_symmetry_equiv_pos_as_xyz
'x,y,z'
loop_
_atom_site_label
_atom_site_fract_x
_atom_site_fract_y
_atom_site_fract_z
_atom_site_occupancy
Ti1 0.000 0.000 0.000 1
Al1 0.500 0.500 0.000 1
Pd1 0.000 0.500 0.500 1
Pd2 0.500 0.000 0.500 1

# Ti2Al3Pd4 | Alexandria via LeMat-Bulk | PBE | relaxed
# Formation energy in meV per atom: -639
# Uncorrected energy in Ry/atom: -0.4373
# Spin magnetization in μB/f.u.: 1.094
data_Ti2Al3Pd4
_chemical_formula_sum 'Ti2 Al3 Pd4'
_symmetry_space_group_name_H-M 'P 1'
_symmetry_Int_Tables_number 1
_cell_length_a 4.701
_cell_length_b 4.701
_cell_length_c 8.404
_cell_angle_alpha 103.95
_cell_angle_beta 103.95
_cell_angle_gamma 50.50
loop_
_symmetry_equiv_pos_as_xyz
'x,y,z'
loop_
_atom_site_label
_atom_site_fract_x
_atom_site_fract_y
_atom_site_fract_z
_atom_site_occupancy
Ti1 0.183 0.183 0.218 1
Ti2 0.817 0.817 0.782 1
Al1 0.158 0.158 0.568 1
Al2 0.500 0.500 0.000 1
Al3 0.842 0.842 0.432 1
Pd1 0.152 0.152 0.891 1
Pd2 0.475 0.475 0.659 1
Pd3 0.525 0.525 0.341 1
Pd4 0.848 0.848 0.109 1